# Li2Ti3NiO8 (PBE with a Hubbard U, relaxed)
data_Li2Ti3NiO8
_cell_length_a 5.9668
_cell_length_b 5.9668
_cell_length_c 14.6479
_cell_angle_alpha 90.00
_cell_angle_beta 90.00
_cell_angle_gamma 120.00
_symmetry_space_group_name_H-M 'R -3 m'
_symmetry_Int_Tables_number 166
_symmetry_space_group_name_Hall '-R 3 2"'
loop_
_atom_site_label
_atom_site_type_symbol
_atom_site_fract_x
_atom_site_fract_y
_atom_site_fract_z
Li1 Li 0.0000 0.0000 0.1204
Ti1 Ti 0.0000 0.5000 0.0000
Ni1 Ni 0.0000 0.0000 0.5000
O1 O 0.0000 0.0000 0.2607
O2 O 0.0291 0.5146 0.2606
# Polymorph energy (0 for the lowest one)   0.000 eV/atom
# Final energy   -0.5555 Ry/atom
# Mass density   3.80 Mg/m³
# DOS at the Fermi energy   0.000 states/eV per atom
# V   451.6 Å³ per cell